1.
Here is crystalline Ca2ZrGe2 at its relaxed geometry from the Alexandria database. Energies are from PBE.

```
5
Lattice="4.235 0.000 0.000 0.000 4.235 0.000 2.117 2.117 6.438" Properties=species:S:1:pos:R:3 pbc="T T T"
Zr 0.000 0.000 0.000
Ge 2.117 2.117 1.186
Ca 2.117 4.235 3.219
Ca 4.235 2.117 3.219
Ge 4.235 4.235 5.252
```

Results
Electronic total energy in eV per cell: -22.72
Total moment in μB/f.u.: 0.00
Energy of formation from the pure elements in eV per atom: -0.19
Calculated density in g/cm³: 4.55
Energy relative to the lowest polymorph listed for this composition in meV per atom: 169
SG: I4/mmm (139)

---

2.
Here is crystalline CaZr2Ge at its relaxed geometry from the Alexandria database. Energies are from PBE.

```
8
Lattice="8.276 0.000 0.000 0.000 8.276 0.000 4.138 4.138 2.926" Properties=species:S:1:pos:R:3 pbc="T T T"
Ge 8.276 4.138 1.463
Zr 1.617 6.207 0.731
Ge 0.000 0.000 0.000
Ca 4.138 8.276 1.463
Ca 4.138 4.138 0.000
Zr 6.659 2.069 0.731
Zr 10.345 10.797 2.194
Zr 6.207 5.755 2.194
```

Results
Electronic total energy in eV per cell: -46.54
Total moment in μB/f.u.: 0.00
Energy of formation from the pure elements in eV per atom: 0.11
Calculated density in g/cm³: 4.89
SG: I-42d (122)

---

3.
Here is crystalline CaZr2Ge2 at its relaxed geometry from the Alexandria database. Energies are from PBE.

```
5
Lattice="-0.809 4.202 2.859 -0.644 -2.956 4.162 4.015 0.901 4.442" Properties=species:S:1:pos:R:3 pbc="T T T"
Ge 1.240 2.863 5.406
Ca 0.000 0.000 0.000
Zr 1.655 1.428 7.632
Ge 1.322 -0.716 6.058
Zr 0.907 0.719 3.832
```

Results
Electronic total energy in eV per cell: -29.65
Total moment in μB/f.u.: 0.00
Energy of formation from the pure elements in eV per atom: -0.26
Calculated density in g/cm³: 4.77
Energy relative to the lowest polymorph listed for this composition in meV per atom: 295
SG: I4/mmm (139)

---

4.
Here is crystalline CaZr2Ge2 at its relaxed geometry from the Alexandria database. Energies are from PBE.

```
5
Lattice="4.390 0.000 0.000 0.000 4.390 0.000 2.195 2.195 6.071" Properties=species:S:1:pos:R:3 pbc="T T T"
Zr 2.195 4.390 3.036
Ge 2.195 2.195 1.307
Zr 4.390 2.195 3.036
Ge 4.390 4.390 4.764
Ca 0.000 0.000 0.000
```

Results
Electronic total energy in eV per cell: -30.86
Total moment in μB/f.u.: 0.00
Energy of formation from the pure elements in eV per atom: -0.51
Calculated density in g/cm³: 5.22
Energy relative to the lowest polymorph listed for this composition in meV per atom: 53
SG: I4/mmm (139)

---

5.
Here is crystalline CaZr2Ge2 at its relaxed geometry from the Alexandria database. Energies are from PBE.

```
10
Lattice="-2.921 3.913 -5.722 1.278 -5.799 -4.618 -3.396 -1.378 0.791" Properties=species:S:1:pos:R:3 pbc="T T T"
Zr -1.327 -3.897 -3.602
Zr -2.566 -2.945 -7.264
Ge -1.728 -0.268 -7.886
Ge 0.085 -1.618 -2.455
Zr -3.711 0.633 -5.947
Ge -1.677 1.708 -4.226
Ge 0.034 -3.594 -6.115
Ca 0.000 0.000 0.000
Ca -0.821 -0.943 -5.170
Zr -2.473 -0.318 -2.285
```

Results
Electronic total energy in eV per cell: -62.26
Total moment in μB/f.u.: 0.00
Energy of formation from the pure elements in eV per atom: -0.56
Calculated density in g/cm³: 5.76
Energy relative to the lowest polymorph listed for this composition in meV per atom: 0
SG: P4/mbm (127)

---

6.
Here is crystalline CaZr2Ge2 at its relaxed geometry from the Alexandria database. Energies are from PBE.

```
10
Lattice="8.328 0.000 0.000 0.000 8.328 0.000 0.000 0.000 3.102" Properties=species:S:1:pos:R:3 pbc="T T T"
Zr 5.198 1.033 0.000
Ge 1.425 5.589 1.551
Zr 3.131 7.295 0.000
Ca 4.164 4.164 0.000
Ge 2.739 1.425 1.551
Ge 6.903 2.739 1.551
Ca 0.000 0.000 0.000
Zr 7.295 5.198 0.000
Zr 1.033 3.131 0.000
Ge 5.589 6.903 1.551
```

Results
Electronic total energy in eV per cell: -60.41
Total moment in μB/f.u.: 0.00
Energy of formation from the pure elements in eV per atom: -0.37
Calculated density in g/cm³: 5.68
Energy relative to the lowest polymorph listed for this composition in meV per atom: 185
SG: P4/mbm (127)

---

7.
Here is crystalline Ca2ZrGe2 at its relaxed geometry from the Alexandria database. Energies are from PBE.

```
10
Lattice="8.108 0.000 0.000 0.000 8.108 0.000 0.000 0.000 3.655" Properties=species:S:1:pos:R:3 pbc="T T T"
Ge 6.732 5.430 0.000
Ge 5.430 1.376 0.000
Zr 4.054 4.054 0.000
Zr 0.000 0.000 0.000
Ge 1.376 2.678 0.000
Ca 1.115 5.169 1.828
Ca 6.993 2.939 1.828
Ca 2.939 1.115 1.828
Ca 5.169 6.993 1.828
Ge 2.678 6.732 0.000
```

Results
Electronic total energy in eV per cell: -47.13
Total moment in μB/f.u.: 0.00
Energy of formation from the pure elements in eV per atom: -0.36
Calculated density in g/cm³: 4.38
Energy relative to the lowest polymorph listed for this composition in meV per atom: 0
SG: P4/mbm (127)

---

8.
Here is crystalline Ca3ZrGe at its relaxed geometry from the Alexandria database. Energies are from PBE.

```
5
Lattice="5.653 0.000 0.000 0.000 5.653 0.000 0.000 0.000 5.653" Properties=species:S:1:pos:R:3 pbc="T T T"
Ca 0.000 0.000 2.826
Ca 0.000 2.826 0.000
Ge 0.000 0.000 0.000
Zr 2.826 2.826 2.826
Ca 2.826 0.000 0.000
```

Results
Electronic total energy in eV per cell: -17.37
Total moment in μB/f.u.: 3.80
Energy of formation from the pure elements in eV per atom: 0.36
Calculated density in g/cm³: 2.61
Energy relative to the lowest polymorph listed for this composition in meV per atom: 0
SG: Pm-3m (221)

---

> What is the formula in the third record?

CaZr2Ge2